{
  "formula": "YCuN2F",
  "functional": "PBE",
  "state": "optimized geometry",
  "lattice": [[-3.7720, 0.0530, -0.2963], [0.2769, -0.8480, -3.6773], [-0.1246, -3.8996, 0.8899]],
  "species": ["N", "N", "Cu", "Y", "F"],
  "fractional_positions": [[0.5000, 0.0000, 0.0000], [0.0000, 0.5000, 0.0000], [0.0000, 0.0000, 0.0000], [0.5000, 0.5000, 0.5000], [0.0000, 0.0000, 0.5000]],
  "crystal_system": "tetragonal",
  "n_ef_per_ev_fu": 3.94,
  "e_form_raw_ev_per_atom": -0.4898,
  "vol_a3_per_atom": 11.46,
  "total_magnetization_mub_per_atom": 0.00
}